Record 1
Here is an optimized crystal structure of KTaNO from OQMD. Energies are from PBE.

E above lowest polymorph ... 1020 meV per atom
Calculated volume ... 21.329 Å³ per atom

The structure in CIF format:
```
data_KTaNO
_cell_length_a 4.036
_cell_length_b 4.036
_cell_length_c 10.473
_cell_angle_alpha 90.00
_cell_angle_beta 90.00
_cell_angle_gamma 90.00
_symmetry_space_group_name_H-M 'P 4/n m m'
_symmetry_Int_Tables_number 129
loop_
_symmetry_equiv_pos_as_xyz
'x,y,z'
'-x,-y,-z'
'-y+1/2,x,z'
'y+1/2,-x,-z'
'-x+1/2,-y+1/2,z'
'x+1/2,y+1/2,-z'
'y,-x+1/2,z'
'-y,x+1/2,-z'
'x+1/2,-y,-z'
'-x+1/2,y,z'
'-y,-x,-z'
'y,x,z'
'-x,y+1/2,-z'
'x,-y+1/2,z'
'y+1/2,x+1/2,-z'
'-y+1/2,-x+1/2,z'
loop_
_atom_site_label
_atom_site_fract_x
_atom_site_fract_y
_atom_site_fract_z
K1 0.250 0.250 0.149
Ta1 0.250 0.750 0.500
N1 0.250 0.250 0.551
O1 0.250 0.750 0.000
```

=====

Record 2
Here is an optimized crystal structure of Al4Cd3 from OQMD. Energies are from PBE.

Calculated volume ... 20.915 Å³ per atom

The structure in CIF format:
```
data_Al4Cd3
_cell_length_a 4.4531
_cell_length_b 4.4531
_cell_length_c 25.5760
_cell_angle_alpha 90.00
_cell_angle_beta 90.00
_cell_angle_gamma 120.00
_symmetry_space_group_name_H-M 'R 3 m'
_symmetry_Int_Tables_number 160
_symmetry_space_group_name_Hall 'R 3 -2"'
loop_
_atom_site_label
_atom_site_fract_x
_atom_site_fract_y
_atom_site_fract_z
Al1 0.0000 0.0000 0.0000
Al2 0.0000 0.0000 0.1103
Al3 0.0000 0.0000 0.4727
Al4 0.0000 0.0000 0.5836
Cd1 0.0000 0.0000 0.2919
Cd2 0.0000 0.0000 0.7228
Cd3 0.0000 0.0000 0.8607
```

=====

Record 3
Here is an optimized crystal structure of FeCuSb4 from OQMD. Energies are from PBE.

Calculated volume ... 21.665 Å³ per atom

The structure in CIF format:
```
data_FeCuSb4
_cell_length_a 5.795
_cell_length_b 3.413
_cell_length_c 6.572
_cell_angle_alpha 90.00
_cell_angle_beta 90.53
_cell_angle_gamma 90.00
_symmetry_space_group_name_H-M 'P 1 2/m 1'
_symmetry_Int_Tables_number 10
_symmetry_space_group_name_Hall '-P 2y'
loop_
_atom_site_label
_atom_site_fract_x
_atom_site_fract_y
_atom_site_fract_z
Fe1 0.000 0.000 0.000
Cu1 0.500 0.500 0.500
Sb1 0.185 0.000 0.651
Sb2 0.298 0.500 0.133
```

=====

Record 4
Here is an optimized crystal structure of ZnGe from OQMD. Energies are from PBE.

Calculated volume ... 17.603 Å³ per atom

The structure in CIF format:
```
data_ZnGe
_cell_length_a 4.777
_cell_length_b 5.877
_cell_length_c 5.016
_cell_angle_alpha 90.00
_cell_angle_beta 90.00
_cell_angle_gamma 90.00
_symmetry_space_group_name_H-M 'P m m 2'
_symmetry_Int_Tables_number 25
_symmetry_space_group_name_Hall 'P 2 -2'
loop_
_atom_site_label
_atom_site_fract_x
_atom_site_fract_y
_atom_site_fract_z
Zn1 0.000 0.000 0.000
Zn2 0.000 0.238 0.520
Zn3 0.500 0.000 0.684
Ge1 0.000 0.500 0.022
Ge2 0.500 0.236 0.187
Ge3 0.500 0.500 0.676
```

=====

Record 5
Here is an optimized crystal structure of LiPaN2 from OQMD. Energies are from PBE.

Calculated volume ... 11.807 Å³ per atom

The structure in CIF format:
```
data_LiPaN2
_cell_length_a 5.716
_cell_length_b 5.948
_cell_length_c 5.720
_cell_angle_alpha 90.00
_cell_angle_beta 103.73
_cell_angle_gamma 90.00
_symmetry_space_group_name_H-M 'P 1 21/c 1'
_symmetry_Int_Tables_number 14
_symmetry_space_group_name_Hall '-P 2ybc'
loop_
_atom_site_label
_atom_site_fract_x
_atom_site_fract_y
_atom_site_fract_z
Li1 0.168 0.119 0.152
Pa1 0.291 0.567 0.190
N1 0.063 0.640 0.815
N2 0.447 0.242 0.982
```

=====

Record 6
Here is an optimized crystal structure of NdGdTe from OQMD. Energies are from PBE.

E above lowest polymorph ... 0 meV per atom
Calculated volume ... 32.375 Å³ per atom

The structure in CIF format:
```
data_NdGdTe
_cell_length_a 7.297
_cell_length_b 7.297
_cell_length_c 7.297
_cell_angle_alpha 90.00
_cell_angle_beta 90.00
_cell_angle_gamma 90.00
_symmetry_space_group_name_H-M 'F -4 3 m'
_symmetry_Int_Tables_number 216
_symmetry_space_group_name_Hall 'F -4 2 3'
loop_
_atom_site_label
_atom_site_fract_x
_atom_site_fract_y
_atom_site_fract_z
Nd1 0.000 0.000 0.000
Gd1 0.000 0.000 0.500
Te1 0.250 0.250 0.750
```

=====

Record 7
Here is an optimized crystal structure of Pm5Sn3Ge from OQMD. Energies are from PBE.

Calculated volume ... 28.921 Å³ per atom

The structure in CIF format:
```
data_Pm5Sn3Ge
_cell_length_a 9.5153
_cell_length_b 9.5153
_cell_length_c 6.6391
_cell_angle_alpha 90.00
_cell_angle_beta 90.00
_cell_angle_gamma 120.00
_symmetry_space_group_name_H-M 'P 63/m c m'
_symmetry_Int_Tables_number 193
_symmetry_space_group_name_Hall '-P 6c 2'
loop_
_atom_site_label
_atom_site_fract_x
_atom_site_fract_y
_atom_site_fract_z
Pm1 0.0000 0.2553 0.2500
Pm2 0.3333 0.6667 0.0000
Sn1 0.0000 0.3891 0.7500
Ge1 0.0000 0.0000 0.0000
```

=====

Record 8
Here is an optimized crystal structure of DyTmSn2Ge2 from OQMD. Energies are from PBE.

Calculated volume ... 23.443 Å³ per atom

The structure in CIF format:
```
data_DyTmSn2Ge2
_cell_length_a 4.065
_cell_length_b 4.269
_cell_length_c 16.208
_cell_angle_alpha 90.00
_cell_angle_beta 90.00
_cell_angle_gamma 90.00
_symmetry_space_group_name_H-M 'A m m 2'
_symmetry_Int_Tables_number 38
_symmetry_space_group_name_Hall 'A 2 -2'
loop_
_atom_site_label
_atom_site_fract_x
_atom_site_fract_y
_atom_site_fract_z
Dy1 0.000 0.000 0.000
Tm1 0.500 0.000 0.812
Sn1 0.000 0.000 0.653
Sn2 0.500 0.000 0.161
Ge1 0.000 0.000 0.351
Ge2 0.500 0.000 0.460
```

=====

Record 9
Here is an optimized crystal structure of BiSbAu from OQMD. Energies are from PBE.

E above lowest polymorph ... 29 meV per atom
Calculated volume ... 27.074 Å³ per atom

The structure in CIF format:
```
data_BiSbAu
_cell_length_a 7.745
_cell_length_b 4.108
_cell_length_c 10.210
_cell_angle_alpha 90.00
_cell_angle_beta 90.00
_cell_angle_gamma 90.00
_symmetry_space_group_name_H-M 'P n m a'
_symmetry_Int_Tables_number 62
_symmetry_space_group_name_Hall '-P 2ac 2n'
loop_
_atom_site_label
_atom_site_fract_x
_atom_site_fract_y
_atom_site_fract_z
Bi1 0.106 0.250 0.181
Sb1 0.153 0.250 0.486
Au1 0.157 0.250 0.854
```

=====

Record 10
Here is an optimized crystal structure of SnPPtO from OQMD. Energies are from PBE.

E above lowest polymorph ... 0 meV per atom
Calculated volume ... 19.079 Å³ per atom

The structure in CIF format:
```
data_SnPPtO
_cell_length_a 3.970
_cell_length_b 3.970
_cell_length_c 9.685
_cell_angle_alpha 90.00
_cell_angle_beta 90.00
_cell_angle_gamma 90.00
_symmetry_space_group_name_H-M 'P 4/n m m'
_symmetry_Int_Tables_number 129
loop_
_symmetry_equiv_pos_as_xyz
'x,y,z'
'-x,-y,-z'
'-y+1/2,x,z'
'y+1/2,-x,-z'
'-x+1/2,-y+1/2,z'
'x+1/2,y+1/2,-z'
'y,-x+1/2,z'
'-y,x+1/2,-z'
'x+1/2,-y,-z'
'-x+1/2,y,z'
'-y,-x,-z'
'y,x,z'
'-x,y+1/2,-z'
'x,-y+1/2,z'
'y+1/2,x+1/2,-z'
'-y+1/2,-x+1/2,z'
loop_
_atom_site_label
_atom_site_fract_x
_atom_site_fract_y
_atom_site_fract_z
Sn1 0.250 0.250 0.116
P1 0.250 0.250 0.639
Pt1 0.250 0.750 0.500
O1 0.250 0.750 0.000
```

=====

Record 11
Here is an optimized crystal structure of La2Dy2O5 from OQMD. Energies are from PBE.

E above lowest polymorph ... 622 meV per atom
Calculated volume ... 16.899 Å³ per atom

The structure in CIF format:
```
data_La2Dy2O5
_cell_length_a 4.410
_cell_length_b 4.410
_cell_length_c 7.819
_cell_angle_alpha 90.00
_cell_angle_beta 90.00
_cell_angle_gamma 90.00
_symmetry_space_group_name_H-M 'P 4/m m m'
_symmetry_Int_Tables_number 123
_symmetry_space_group_name_Hall '-P 4 2'
loop_
_atom_site_label
_atom_site_fract_x
_atom_site_fract_y
_atom_site_fract_z
La1 0.000 0.000 0.224
Dy1 0.500 0.500 0.000
Dy2 0.500 0.500 0.500
O1 0.000 0.000 0.500
O2 0.000 0.500 0.292
```

=====

Record 12
Here is an optimized crystal structure of Dy2TmTl3 from OQMD. Energies are from PBE.

Calculated volume ... 26.723 Å³ per atom

The structure in CIF format:
```
data_Dy2TmTl3
_cell_length_a 3.628
_cell_length_b 3.628
_cell_length_c 12.180
_cell_angle_alpha 90.00
_cell_angle_beta 90.00
_cell_angle_gamma 90.00
_symmetry_space_group_name_H-M 'P 4/m m m'
_symmetry_Int_Tables_number 123
_symmetry_space_group_name_Hall '-P 4 2'
loop_
_atom_site_label
_atom_site_fract_x
_atom_site_fract_y
_atom_site_fract_z
Dy1 0.000 0.000 0.168
Tm1 0.000 0.000 0.500
Tl1 0.500 0.500 0.000
Tl2 0.500 0.500 0.336
```

=====

no.,calculated total energy (eV per formula unit)
1,-27.5
2,-16.2
3,-28.4
4,-5.4
5,-33.4
6,-14.4
7,-47.4
8,-30.0
9,-11.2
10,-23.2
11,-63.9
12,-22.7